Below is a relaxed Li2MoSeF crystal, with properties calculated at the GGA+U level.

- Calculated total energy: -3.576 eV per atom
- Calculated volume: 116.1 Å³/cell
- Total moment: 1.000 μB/atom
- N(E_F): 0.3 states/eV/f.u.

Cell lengths 5.3264, 5.3264, 4.0928 Å; angles 90.00, 90.00, 90.00 degrees
With the nearest neighbours (Å) after each atom.
Element x y z (fractional)
1 Li 0.0000 0.5000 0.0000  2 Mo 2.66
2 Li 0.5000 0.0000 0.0000  2 Mo 2.66
3 Mo 0.0000 0.0000 0.0000  2 F 2.05
4 Se 0.5000 0.5000 0.5000  8 Li 3.36
5 F 0.0000 0.0000 0.5000  2 Mo 2.05